1:
A plane-wave DFT calculation with PBE was carried out for a relaxed structure of Pr2NdGa3.

Structure (CIF):
```
data_Pr2NdGa3
_cell_length_a 5.2529
_cell_length_b 15.7796
_cell_length_c 7.4330
_cell_angle_alpha 90.00
_cell_angle_beta 90.00
_cell_angle_gamma 90.00
_symmetry_space_group_name_H-M 'C m m m'
_symmetry_Int_Tables_number 65
_symmetry_space_group_name_Hall '-C 2 2'
loop_
_atom_site_label
_atom_site_type_symbol
_atom_site_fract_x
_atom_site_fract_y
_atom_site_fract_z
Pr1 Pr 0.0000 0.0000 0.0000
Pr2 Pr 0.0000 0.0000 0.5000
Pr3 Pr 0.0000 0.3339 0.0000
Nd1 Nd 0.0000 0.3332 0.5000
Ga1 Ga 0.0000 0.1673 0.2524
Ga2 Ga 0.0000 0.5000 0.2524
```

***

2:
A plane-wave DFT calculation with PBE was carried out for a relaxed structure of Pr2NdGa3.

Structure (CIF):
```
data_Pr2NdGa3
_cell_length_a 4.7389
_cell_length_b 21.7414
_cell_length_c 6.3538
_cell_angle_alpha 90.00
_cell_angle_beta 90.00
_cell_angle_gamma 90.00
_symmetry_space_group_name_H-M 'C m c m'
_symmetry_Int_Tables_number 63
_symmetry_space_group_name_Hall '-C 2c 2'
loop_
_atom_site_label
_atom_site_type_symbol
_atom_site_fract_x
_atom_site_fract_y
_atom_site_fract_z
Pr1 Pr 0.0000 0.0338 0.2500
Pr2 Pr 0.0000 0.1429 0.7500
Nd1 Nd 0.0000 0.3218 0.7500
Ga1 Ga 0.0000 0.2626 0.2500
Ga2 Ga 0.0000 0.4386 0.0474
```

***

Energies in meV/atom, measured from the most stable structure: 1 0; 2 75.